No. 1
Computed, not measured: a relaxed CoAg4Mo crystal at the PBE-GGA level of DFT.

a = 5.323 Å, b = 5.323 Å, c = 5.323 Å
α = 60.00°, β = 60.00°, γ = 60.00°
Positions (direct):
Co 0.000 0.000 0.000
Ag 0.125 0.625 0.625
Ag 0.625 0.125 0.625
Ag 0.625 0.625 0.125
Ag 0.625 0.625 0.625
Mo 0.250 0.250 0.250

DFT formation energy: 854 meV per atom
Fermi-level density of states: 9.103 states/eV per cell
Theoretical density: 9.13 g cm⁻³
Symmetry: F-43m, No. 216
Size of the total moment: 0.96 Bohr magnetons per cell

---

No. 2
Computed, not measured: a relaxed Co2AgMo2 crystal at the PBE-GGA level of DFT.

a = 7.413 Å, b = 7.413 Å, c = 2.640 Å
α = 90.00°, β = 90.00°, γ = 90.00°
Positions (direct):
Co 0.169 0.331 0.000
Co 0.331 0.831 0.000
Co 0.669 0.169 0.000
Co 0.831 0.669 0.000
Ag 0.000 0.000 0.500
Ag 0.500 0.500 0.500
Mo 0.123 0.623 0.500
Mo 0.377 0.123 0.500
Mo 0.623 0.877 0.500
Mo 0.877 0.377 0.500

DFT formation energy: 319 meV per atom
Fermi-level density of states: 8.106 states/eV per cell
Theoretical density: 9.56 g cm⁻³
Relative energy among the computed polymorphs: 113 meV per atom
Symmetry: P4/mbm, No. 127
Size of the total moment: 0.00 Bohr magnetons per cell